The following is a DFT calculation (GGA-PBE) of crystalline LiLa2CdPt at its relaxed geometry.

a b c (Å): 5.635 5.635 4.838
angles (deg): 90.00 90.00 90.00
Atoms (fractional coordinates):
Li: 0.000 0.000 0.000
La: 0.000 0.500 0.500
La: 0.500 0.000 0.500
Cd: 0.500 0.500 0.000
Pt: 0.000 0.000 0.500

Summary:
**Formation enthalpy at 0 K**: -42.67 kJ/mol of atoms
**DOS(E_F)**: 5.89 states/eV per cell
**Polymorph energy (0 for the lowest one)**: 0.134 eV/atom

The following is a DFT calculation (GGA-PBE) of crystalline LiLa2CdRh at its relaxed geometry.

a b c (Å): 5.455 5.455 5.362
angles (deg): 90.00 90.00 90.00
Atoms (fractional coordinates):
Li: 0.000 0.000 0.000
La: 0.000 0.500 0.500
La: 0.500 0.000 0.500
Cd: 0.500 0.500 0.000
Rh: 0.500 0.500 0.500

Summary:
**Formation enthalpy at 0 K**: -27.40 kJ/mol of atoms
**DOS(E_F)**: 3.32 states/eV per cell
**Polymorph energy (0 for the lowest one)**: 0.141 eV/atom

The following is a DFT calculation (GGA-PBE) of crystalline LiLa2CdRh at its relaxed geometry.

a b c (Å): 7.915 4.283 8.208
angles (deg): 90.00 107.61 90.00
Atoms (fractional coordinates):
Li: 0.064 0.250 0.160
Li: 0.936 0.750 0.840
La: 0.229 0.750 0.537
La: 0.395 0.750 0.164
La: 0.605 0.250 0.836
La: 0.771 0.250 0.463
Cd: 0.161 0.250 0.838
Cd: 0.839 0.750 0.162
Rh: 0.381 0.250 0.396
Rh: 0.619 0.750 0.604

Summary:
**Formation enthalpy at 0 K**: -40.99 kJ/mol of atoms
**DOS(E_F)**: 7.61 states/eV per cell
**Polymorph energy (0 for the lowest one)**: 0.000 eV/atom

The following is a DFT calculation (GGA-PBE) of crystalline LiLa2CdRh at its relaxed geometry.

a b c (Å): 5.444 5.444 4.989
angles (deg): 90.00 90.00 90.00
Atoms (fractional coordinates):
Li: 0.000 0.000 0.000
La: 0.000 0.500 0.500
La: 0.500 0.000 0.500
Cd: 0.500 0.500 0.000
Rh: 0.000 0.000 0.500

Summary:
**Formation enthalpy at 0 K**: -29.75 kJ/mol of atoms
**DOS(E_F)**: 3.73 states/eV per cell
**Polymorph energy (0 for the lowest one)**: 0.116 eV/atom

The following is a DFT calculation (GGA-PBE) of crystalline LiLa2CdRu at its relaxed geometry.

a b c (Å): 5.359 5.359 5.449
angles (deg): 90.00 90.00 90.00
Atoms (fractional coordinates):
Li: 0.000 0.000 0.000
La: 0.000 0.500 0.500
La: 0.500 0.000 0.500
Cd: 0.500 0.500 0.000
Ru: 0.500 0.500 0.500

Summary:
**Formation enthalpy at 0 K**: -11.51 kJ/mol of atoms
**DOS(E_F)**: 4.98 states/eV per cell
**Polymorph energy (0 for the lowest one)**: 0.011 eV/atom

The following is a DFT calculation (GGA-PBE) of crystalline LiLa2CdRu at its relaxed geometry.

a b c (Å): 5.320 5.320 5.098
angles (deg): 90.00 90.00 90.00
Atoms (fractional coordinates):
Li: 0.000 0.000 0.000
La: 0.000 0.500 0.500
La: 0.500 0.000 0.500
Cd: 0.500 0.500 0.000
Ru: 0.000 0.000 0.500

Summary:
**Formation enthalpy at 0 K**: -12.60 kJ/mol of atoms
**DOS(E_F)**: 3.60 states/eV per cell
**Polymorph energy (0 for the lowest one)**: 0.000 eV/atom